1.
VASP calculation (SCAN) on a PBEsol-optimized structure of RuAuCl2.

Cell: 6.118 7.311 3.075 Å, 90.00 90.00 90.00°
Space group Cmmm (No. 65)
Unique sites:
Ru1 0.000 0.000 0.000 (multiplicity 2)
Au1 0.000 0.500 0.000 (multiplicity 2)
Cl1 0.250 0.250 0.500 (multiplicity 4)

The value obtained for the formation energy without anion corrections is 0.63 eV/atom. The value obtained for the raw total energy is -29.357 eV/atom. As for the energy above the most stable polymorph in this dataset: 630 meV per atom.


2.
VASP calculation (SCAN) on a PBEsol-optimized structure of GaH2RuF.

Cell: 3.319 3.319 5.064 Å, 90.00 90.00 90.00°
Space group P4/mmm (No. 123)
Unique sites:
Ga1 0.000 0.000 0.000 (multiplicity 1)
H1 0.000 0.500 0.000 (multiplicity 2)
Ru1 0.000 0.000 0.500 (multiplicity 1)
F1 0.500 0.500 0.500 (multiplicity 1)

The value obtained for the raw total energy is -12.057 eV/atom.